1.
The following is a PBE calculation of a relaxed structure of Ac2BiH2Se, from Alexandria.

Calculated values
E_tot (eV per atom): -4.76
SG: P-3m1
Total magnetic moment (μB/atom): 0.000
ρ (g cm⁻³): 8.436

Lattice parameters (Å, degrees): 4.2555 4.2555 9.3376 90.00 90.00 120.00
Closest atoms and distances in Å follow each position.
Positions (direct):
1 Ac 0.3333 0.6667 0.7223  3 H 2.46
2 Ac 0.6667 0.3333 0.2777  3 H 2.46
3 Bi 0.0000 0.0000 0.0000  6 H 3.54, 6 Ac 3.57
4 H 0.3333 0.6667 0.2730  3 Ac 2.46
5 H 0.6667 0.3333 0.7270  3 Ac 2.46
6 Se 0.0000 0.0000 0.5000  6 Ac 3.22, 6 H 3.25

2.
The following is a PBE calculation of a relaxed structure of Ac2BiTeH2, from Alexandria.

Calculated values
E_tot (eV per atom): -4.39
SG: P-3m1
Total magnetic moment (μB/atom): 0.000
ρ (g cm⁻³): 8.380

Lattice parameters (Å, degrees): 5.1084 5.1084 6.9495 90.00 90.00 120.00
Closest atoms and distances in Å follow each position.
Positions (direct):
1 Ac 0.3333 0.6667 0.7182  1 H 2.50
2 Ac 0.6667 0.3333 0.2818  1 H 2.50
3 Bi 0.0000 0.0000 0.0000  2 Te 3.47, 6 Ac 3.54, 6 H 3.86
4 Te 0.0000 0.0000 0.5000  6 H 3.11, 6 Ac 3.32, 2 Bi 3.47
5 H 0.3333 0.6667 0.3577  1 Ac 2.50
6 H 0.6667 0.3333 0.6423  1 Ac 2.50

3.
The following is a PBE calculation of a relaxed structure of AcHfBi3, from Alexandria.

Calculated values
E_tot (eV per atom): -5.64
E above lowest polymorph (meV per atom): 0.0
SG: Pbcm
Total magnetic moment (μB/atom): 0.000
ρ (g cm⁻³): 10.576

Lattice parameters (Å, degrees): 6.6181 6.8070 14.3931 90.00 90.00 90.00
Closest atoms and distances in Å follow each position.
Positions (direct):
1 Ac 0.7500 0.4910 0.6860  9 Bi 3.52-3.67
2 Ac 0.2500 0.5090 0.3140  9 Bi 3.52-3.67
3 Ac 0.7500 0.9910 0.3140  9 Bi 3.52-3.67
4 Ac 0.2500 0.0090 0.6860  9 Bi 3.52-3.67
5 Hf 0.5000 0.2500 0.0876  6 Bi 2.98-3.05, 2 Hf 3.31
6 Hf 0.0000 0.7500 0.9124  6 Bi 2.98-3.05, 2 Hf 3.31
7 Hf 0.5000 0.7500 0.9124  6 Bi 2.98-3.05, 2 Hf 3.31
8 Hf 0.0000 0.2500 0.0876  6 Bi 2.98-3.05, 2 Hf 3.31
9 Bi 0.0000 0.2500 0.4974  4 Bi 3.31-3.40, 4 Ac 3.58
10 Bi 0.5000 0.7500 0.5026  4 Bi 3.31-3.40, 4 Ac 3.58
11 Bi 0.0000 0.7500 0.5026  4 Bi 3.31-3.40, 4 Ac 3.58
12 Bi 0.5000 0.2500 0.4974  4 Bi 3.31-3.40, 4 Ac 3.58
13 Bi 0.2500 0.1123 0.9259  4 Hf 2.98-3.01
14 Bi 0.7500 0.8877 0.0741  4 Hf 2.98-3.01
15 Bi 0.2500 0.6123 0.0741  4 Hf 2.98-3.01
16 Bi 0.7500 0.3877 0.9259  4 Hf 2.98-3.01
17 Bi 0.2500 0.5161 0.7731  2 Hf 3.05
18 Bi 0.7500 0.4839 0.2269  2 Hf 3.05
19 Bi 0.2500 0.0161 0.2269  2 Hf 3.05
20 Bi 0.7500 0.9839 0.7731  2 Hf 3.05